# 1
# TaCdPb2 | Alexandria | PBE | relaxed
data_TaCdPb2
_chemical_formula_sum 'Ta1 Cd1 Pb2'
_space_group_name_H-M_alt 'P 4 m m'
_space_group_IT_number 99
_cell_length_a 3.903
_cell_length_b 3.903
_cell_length_c 6.257
_cell_angle_alpha 90.00
_cell_angle_beta 90.00
_cell_angle_gamma 90.00
loop_
_space_group_symop_operation_xyz
'x,y,z'
'-y,x,z'
'-x,-y,z'
'y,-x,z'
'-x,y,z'
'y,x,z'
'x,-y,z'
'-y,-x,z'
loop_
_atom_site_label
_atom_site_type_symbol
_atom_site_fract_x
_atom_site_fract_y
_atom_site_fract_z
_atom_site_occupancy
Ta1 Ta 0.000 0.000 0.000 1
Cd1 Cd 0.500 0.500 0.259 1
Pb1 Pb 0.000 0.000 0.488 1
Pb2 Pb 0.500 0.500 0.796 1
# crystal system	tetragonal
# total magnetic moment	0.00	μB per cell
# calculated total energy	-4.53	eV/atom
# DFT formation energy	519	meV/atom
# mass density	12.3	g cm⁻³

***

# 2
# TaCd2Pb | Alexandria | PBE | relaxed
data_TaCd2Pb
_chemical_formula_sum 'Ta1 Cd2 Pb1'
_space_group_name_H-M_alt 'P 4/m m m'
_space_group_IT_number 123
_space_group_name_Hall '-P 4 2'
_cell_length_a 5.474
_cell_length_b 5.474
_cell_length_c 3.032
_cell_angle_alpha 90.00
_cell_angle_beta 90.00
_cell_angle_gamma 90.00
loop_
_atom_site_label
_atom_site_type_symbol
_atom_site_fract_x
_atom_site_fract_y
_atom_site_fract_z
_atom_site_occupancy
Ta1 Ta 0.000 0.000 0.000 1
Cd1 Cd 0.000 0.500 0.500 1
Pb1 Pb 0.500 0.500 0.000 1
# crystal system	tetragonal
# total magnetic moment	0.00	μB per cell
# calculated total energy	-3.84	eV/atom
# DFT formation energy	513	meV/atom
# mass density	11.2	g cm⁻³

***

# 3
# TaCd2Pb | Alexandria | PBE | relaxed
data_TaCd2Pb
_chemical_formula_sum 'Ta2 Cd4 Pb2'
_space_group_name_H-M_alt 'I 4/m m m'
_space_group_IT_number 139
_space_group_name_Hall '-I 4 2'
_cell_length_a 4.130
_cell_length_b 4.130
_cell_length_c 10.182
_cell_angle_alpha 90.00
_cell_angle_beta 90.00
_cell_angle_gamma 90.00
loop_
_atom_site_label
_atom_site_type_symbol
_atom_site_fract_x
_atom_site_fract_y
_atom_site_fract_z
_atom_site_occupancy
Ta1 Ta 0.000 0.000 0.000 1
Cd1 Cd 0.000 0.500 0.250 1
Pb1 Pb 0.000 0.000 0.500 1
# crystal system	tetragonal
# total magnetic moment	0.00	μB per cell
# calculated total energy	-3.90	eV/atom
# DFT formation energy	451	meV/atom
# mass density	11.7	g cm⁻³

***

# 4
# TaCd3Pb | Alexandria | PBE | relaxed
data_TaCd3Pb
_chemical_formula_sum 'Ta1 Cd3 Pb1'
_space_group_name_H-M_alt 'P m -3 m'
_space_group_IT_number 221
_space_group_name_Hall '-P 4 2 3'
_cell_length_a 5.403
_cell_length_b 5.403
_cell_length_c 5.403
_cell_angle_alpha 90.00
_cell_angle_beta 90.00
_cell_angle_gamma 90.00
loop_
_atom_site_label
_atom_site_type_symbol
_atom_site_fract_x
_atom_site_fract_y
_atom_site_fract_z
_atom_site_occupancy
Ta1 Ta 0.000 0.000 0.000 1
Cd1 Cd 0.000 0.000 0.500 1
Pb1 Pb 0.500 0.500 0.500 1
# crystal system	cubic
# total magnetic moment	0.43	μB per cell
# calculated total energy	-2.69	eV/atom
# DFT formation energy	970	meV/atom
# mass density	7.6	g cm⁻³

***

# 5
# TaCdPb2 | Alexandria | PBE | relaxed
data_TaCdPb2
_chemical_formula_sum 'Ta2 Cd2 Pb4'
_space_group_name_H-M_alt 'C m m 2'
_space_group_IT_number 35
_cell_length_a 4.239
_cell_length_b 4.521
_cell_length_c 10.674
_cell_angle_alpha 90.00
_cell_angle_beta 90.00
_cell_angle_gamma 90.00
loop_
_space_group_symop_operation_xyz
'x,y,z'
'-x,-y,z'
'-x,y,z'
'x,-y,z'
'x+1/2,y+1/2,z'
'-x+1/2,-y+1/2,z'
'-x+1/2,y+1/2,z'
'x+1/2,-y+1/2,z'
loop_
_atom_site_label
_atom_site_type_symbol
_atom_site_fract_x
_atom_site_fract_y
_atom_site_fract_z
_atom_site_occupancy
Ta1 Ta 0.000 0.000 0.000 1
Cd1 Cd 0.000 0.500 0.199 1
Pb1 Pb 0.000 0.000 0.437 1
Pb2 Pb 0.000 0.500 0.777 1
# crystal system	orthorhombic
# total magnetic moment	0.00	μB per cell
# calculated total energy	-4.72	eV/atom
# DFT formation energy	324	meV/atom
# mass density	11.5	g cm⁻³

***

# 6
# TaCd2Pb | Alexandria | PBE | relaxed
data_TaCd2Pb
_chemical_formula_sum 'Ta2 Cd4 Pb2'
_space_group_name_H-M_alt 'C m m m'
_space_group_IT_number 65
_space_group_name_Hall '-C 2 2'
_cell_length_a 4.273
_cell_length_b 4.394
_cell_length_c 9.803
_cell_angle_alpha 90.00
_cell_angle_beta 90.00
_cell_angle_gamma 90.00
loop_
_atom_site_label
_atom_site_type_symbol
_atom_site_fract_x
_atom_site_fract_y
_atom_site_fract_z
_atom_site_occupancy
Ta1 Ta 0.000 0.000 0.000 1
Cd1 Cd 0.000 0.500 0.216 1
Pb1 Pb 0.000 0.000 0.500 1
# crystal system	orthorhombic
# total magnetic moment	0.00	μB per cell
# calculated total energy	-4.07	eV/atom
# DFT formation energy	277	meV/atom
# mass density	11.1	g cm⁻³

***

# 7
# TaCdPb2 | Alexandria | PBE | relaxed
data_TaCdPb2
_chemical_formula_sum 'Ta1 Cd1 Pb2'
_space_group_name_H-M_alt 'P m m 2'
_space_group_IT_number 25
_cell_length_a 3.165
_cell_length_b 4.891
_cell_length_c 6.191
_cell_angle_alpha 90.00
_cell_angle_beta 90.00
_cell_angle_gamma 90.00
loop_
_space_group_symop_operation_xyz
'x,y,z'
'-x,-y,z'
'-x,y,z'
'x,-y,z'
loop_
_atom_site_label
_atom_site_type_symbol
_atom_site_fract_x
_atom_site_fract_y
_atom_site_fract_z
_atom_site_occupancy
Ta1 Ta 0.000 0.000 0.000 1
Cd1 Cd 0.500 0.500 0.255 1
Pb1 Pb 0.000 0.000 0.482 1
Pb2 Pb 0.500 0.500 0.788 1
# crystal system	orthorhombic
# total magnetic moment	0.00	μB per cell
# calculated total energy	-4.54	eV/atom
# DFT formation energy	509	meV/atom
# mass density	12.3	g cm⁻³

***

# 8
# TaCdPb2 | Alexandria | PBE | relaxed
data_TaCdPb2
_chemical_formula_sum 'Ta2 Cd2 Pb4'
_space_group_name_H-M_alt 'I 4/m m m'
_space_group_IT_number 139
_space_group_name_Hall '-I 4 2'
_cell_length_a 4.527
_cell_length_b 4.527
_cell_length_c 9.288
_cell_angle_alpha 90.00
_cell_angle_beta 90.00
_cell_angle_gamma 90.00
loop_
_atom_site_label
_atom_site_type_symbol
_atom_site_fract_x
_atom_site_fract_y
_atom_site_fract_z
_atom_site_occupancy
Ta1 Ta 0.000 0.000 0.000 1
Cd1 Cd 0.000 0.000 0.500 1
Pb1 Pb 0.000 0.500 0.250 1
# crystal system	tetragonal
# total magnetic moment	0.00	μB per cell
# calculated total energy	-4.45	eV/atom
# DFT formation energy	596	meV/atom
# mass density	12.4	g cm⁻³

***

# 9
# TaCdPb2 | Alexandria | PBE | relaxed
data_TaCdPb2
_chemical_formula_sum 'Ta2 Cd2 Pb4'
_space_group_name_H-M_alt 'C 1 m 1'
_space_group_IT_number 8
_cell_length_a 11.511
_cell_length_b 3.106
_cell_length_c 5.545
_cell_angle_alpha 90.00
_cell_angle_beta 103.98
_cell_angle_gamma 90.00
loop_
_space_group_symop_operation_xyz
'x,y,z'
'x,-y,z'
'x+1/2,y+1/2,z'
'x+1/2,-y+1/2,z'
loop_
_atom_site_label
_atom_site_type_symbol
_atom_site_fract_x
_atom_site_fract_y
_atom_site_fract_z
_atom_site_occupancy
Ta1 Ta 0.000 0.000 0.000 1
Cd1 Cd 0.299 0.000 0.674 1
Pb1 Pb 0.041 0.500 0.516 1
Pb2 Pb 0.250 0.500 0.145 1
# crystal system	monoclinic
# total magnetic moment	0.00	μB per cell
# calculated total energy	-4.58	eV/atom
# DFT formation energy	461	meV/atom
# mass density	12.2	g cm⁻³

***

# 10
# TaCdPb | Alexandria | PBE | relaxed
data_TaCdPb
_chemical_formula_sum 'Ta4 Cd4 Pb4'
_space_group_name_H-M_alt 'F -4 3 m'
_space_group_IT_number 216
_space_group_name_Hall 'F -4 2 3'
_cell_length_a 6.820
_cell_length_b 6.820
_cell_length_c 6.820
_cell_angle_alpha 90.00
_cell_angle_beta 90.00
_cell_angle_gamma 90.00
loop_
_atom_site_label
_atom_site_type_symbol
_atom_site_fract_x
_atom_site_fract_y
_atom_site_fract_z
_atom_site_occupancy
Ta1 Ta 0.000 0.000 0.000 1
Cd1 Cd 0.000 0.000 0.500 1
Pb1 Pb 0.250 0.250 0.250 1
# crystal system	cubic
# total magnetic moment	9.96	μB per cell
# calculated total energy	-4.34	eV/atom
# DFT formation energy	1154	meV/atom
# mass density	10.5	g cm⁻³

***

# 11
# TaCdPb2 | Alexandria | PBE | relaxed
data_TaCdPb2
_chemical_formula_sum 'Ta2 Cd2 Pb4'
_space_group_name_H-M_alt 'C 1 2/m 1'
_space_group_IT_number 12
_cell_length_a 10.848
_cell_length_b 3.153
_cell_length_c 5.695
_cell_angle_alpha 90.00
_cell_angle_beta 97.39
_cell_angle_gamma 90.00
loop_
_space_group_symop_operation_xyz
'x,y,z'
'-x,-y,-z'
'-x,y,-z'
'x,-y,z'
'x+1/2,y+1/2,z'
'-x+1/2,-y+1/2,-z'
'-x+1/2,y+1/2,-z'
'x+1/2,-y+1/2,z'
loop_
_atom_site_label
_atom_site_type_symbol
_atom_site_fract_x
_atom_site_fract_y
_atom_site_fract_z
_atom_site_occupancy
Ta1 Ta 0.000 0.000 0.000 1
Cd1 Cd 0.000 0.500 0.500 1
Pb1 Pb 0.237 0.500 0.236 1
# crystal system	monoclinic
# total magnetic moment	0.00	μB per cell
# calculated total energy	-4.55	eV/atom
# DFT formation energy	497	meV/atom
# mass density	12.2	g cm⁻³

***

# 12
# TaCdPb | Alexandria | PBE | relaxed
data_TaCdPb
_chemical_formula_sum 'Ta2 Cd2 Pb2'
_space_group_name_H-M_alt 'C 1 2 1'
_space_group_IT_number 5
_cell_length_a 5.130
_cell_length_b 10.460
_cell_length_c 3.139
_cell_angle_alpha 90.00
_cell_angle_beta 127.36
_cell_angle_gamma 90.00
loop_
_space_group_symop_operation_xyz
'x,y,z'
'-x,y,-z'
'x+1/2,y+1/2,z'
'-x+1/2,y+1/2,-z'
loop_
_atom_site_label
_atom_site_type_symbol
_atom_site_fract_x
_atom_site_fract_y
_atom_site_fract_z
_atom_site_occupancy
Ta1 Ta 0.000 0.000 0.000 1
Cd1 Cd 0.000 0.358 0.000 1
Pb1 Pb 0.000 0.672 0.000 1
# crystal system	monoclinic
# total magnetic moment	0.00	μB per cell
# calculated total energy	-4.90	eV/atom
# DFT formation energy	592	meV/atom
# mass density	12.4	g cm⁻³

***

# 13
# TaCdPb2 | Alexandria | PBE | relaxed
data_TaCdPb2
_chemical_formula_sum 'Ta1 Cd1 Pb2'
_space_group_name_H-M_alt 'P m m m'
_space_group_IT_number 47
_cell_length_a 3.810
_cell_length_b 3.849
_cell_length_c 6.455
_cell_angle_alpha 90.00
_cell_angle_beta 90.00
_cell_angle_gamma 90.00
loop_
_space_group_symop_operation_xyz
'x,y,z'
'-x,-y,-z'
'-x,-y,z'
'x,y,-z'
'x,-y,-z'
'-x,y,z'
'-x,y,-z'
'x,-y,z'
loop_
_atom_site_label
_atom_site_type_symbol
_atom_site_fract_x
_atom_site_fract_y
_atom_site_fract_z
_atom_site_occupancy
Ta1 Ta 0.000 0.000 0.000 1
Cd1 Cd 0.000 0.000 0.500 1
Pb1 Pb 0.500 0.500 0.238 1
# crystal system	orthorhombic
# total magnetic moment	0.00	μB per cell
# calculated total energy	-4.56	eV/atom
# DFT formation energy	482	meV/atom
# mass density	12.4	g cm⁻³

***

# 14
# TaCd2Pb | Alexandria | PBE | relaxed
data_TaCd2Pb
_chemical_formula_sum 'Ta4 Cd8 Pb4'
_space_group_name_H-M_alt 'F -4 3 m'
_space_group_IT_number 216
_space_group_name_Hall 'F -4 2 3'
_cell_length_a 7.134
_cell_length_b 7.134
_cell_length_c 7.134
_cell_angle_alpha 90.00
_cell_angle_beta 90.00
_cell_angle_gamma 90.00
loop_
_atom_site_label
_atom_site_type_symbol
_atom_site_fract_x
_atom_site_fract_y
_atom_site_fract_z
_atom_site_occupancy
Ta1 Ta 0.000 0.000 0.000 1
Cd1 Cd 0.000 0.000 0.500 1
Cd2 Cd 0.250 0.250 0.750 1
Pb1 Pb 0.250 0.250 0.250 1
# crystal system	cubic
# total magnetic moment	5.53	μB per cell
# calculated total energy	-3.62	eV/atom
# DFT formation energy	725	meV/atom
# mass density	11.2	g cm⁻³